Computed, not measured: a crystal of GaGe3Pt relaxed with PBEsol at the SCAN level of DFT.

```
GaGe3Pt
1.0
4.843 0.000 0.000
0.000 4.843 0.000
0.000 0.000 4.843
Ge Ga Pt
3 1 1
Cartesian
0.000 0.000 2.422
2.422 0.000 0.000
0.000 2.422 0.000
2.422 2.422 2.422
0.000 0.000 0.000
```

Formation energy from the elements in kcal/mol of atoms: 8.76
Crystal system: cubic

=====

Computed, not measured: a crystal of HoSnRu2 relaxed with PBEsol at the SCAN level of DFT.

```
HoSnRu2
1.0
-0.238 -3.998 -2.239
3.325 -1.190 -2.930
2.888 -3.403 1.066
Ru Sn Ho
2 1 1
Cartesian
1.494 -2.148 -1.026
4.481 -6.443 -3.078
0.000 0.000 0.000
2.987 -4.295 -2.052
```

Formation energy from the elements in kcal/mol of atoms: -9.82
Crystal system: cubic

=====

Computed, not measured: a crystal of UI2O8 relaxed with PBEsol at the SCAN level of DFT.

```
UI2O8
1.0
4.131 0.066 0.000
-1.620 5.069 0.000
0.000 0.000 15.935
I O U
4 16 2
Cartesian
1.519 4.170 2.606
0.993 0.965 13.330
0.263 1.603 5.362
2.248 3.532 10.573
1.504 2.727 3.721
1.289 1.938 14.937
2.065 1.553 8.989
3.322 1.081 1.021
3.355 1.289 13.876
-0.843 3.846 2.060
2.263 4.975 11.689
0.446 3.582 6.946
0.248 0.159 4.247
-0.034 0.630 6.969
0.479 3.790 10.028
-0.810 4.054 14.914
1.222 3.197 0.998
1.008 2.408 12.214
2.545 4.505 8.966
2.032 1.345 5.908
2.066 0.033 7.968
-0.810 2.534 0.000
```

ΔE_f (raw) in eV per formula unit: -15.3
Crystal system: monoclinic

=====

Computed, not measured: a crystal of Tc2HgPt relaxed with PBEsol at the SCAN level of DFT.

```
Tc2HgPt
1.0
-0.869 3.631 -2.459
-1.154 -0.434 -4.297
-4.190 0.876 -1.289
Tc Pt Hg
2 1 1
Cartesian
-4.660 3.055 -6.034
0.000 0.000 0.000
-1.553 1.018 -2.011
-3.106 2.037 -4.023
```

Formation energy from the elements in kcal/mol of atoms: 10.07
Crystal system: cubic

=====

no.,electronic total energy (eV/atom)
1,-28.381
2,-39.066
3,-22.018
4,-51.683